Entry 1:
DFT (PBE) results for crystalline K3Ce3CuO8 at its relaxed geometry.

Cell and atoms, written as POSCAR:
```
K3Ce3CuO8
1.0
7.3554 0.0000 0.0000
-3.6777 5.9032 -0.0872
0.0000 -3.9829 6.2458
O Ce K Cu
8 3 3 1
Direct
0.7333 0.4666 0.6940
0.2667 0.5334 0.3060
0.8030 0.6061 0.3601
0.6748 0.9348 0.6922
0.7400 0.0652 0.3078
0.2600 0.9348 0.6922
0.3252 0.0652 0.3078
0.1970 0.3939 0.6399
0.5000 0.5000 0.5000
0.5000 0.0000 0.5000
0.0000 0.5000 0.5000
0.5000 0.5000 0.0000
0.0000 0.0000 0.0000
0.0000 0.5000 0.0000
0.0000 0.0000 0.5000
```

Density of states at the Fermi level in states/eV/f.u.: 1.90
Formation energy without anion corrections in meV/atom: -2408

Entry 2:
DFT (PBE) results for crystalline KCeCuO3 at its relaxed geometry.

Cell and atoms, written as POSCAR:
```
KCeCuO3
1.0
-1.3714 -1.7941 2.9474
-4.5187 -1.3742 -5.2778
4.5462 -6.9123 -2.0924
Cu O K Ce
2 6 2 2
Direct
0.3957 0.7914 0.7500
0.6043 0.2086 0.2500
0.3969 0.7938 0.5369
0.3969 0.7938 0.9631
0.9542 0.9084 0.2500
0.6031 0.2062 0.4631
0.6031 0.2062 0.0369
0.0458 0.0916 0.7500
0.6930 0.3859 0.7500
0.3070 0.6141 0.2500
0.0000 0.0000 0.0000
0.0000 0.0000 0.5000
```

Formation energy without anion corrections in meV/atom: -2166